Record 1
An optimized crystal structure of YP2Pt, computed with GGA-PBE.

It has space group I-42d (No. 122), with a = 4.3798 Å, b = 4.3798 Å, c = 16.7372 Å, α = 90.00°, β = 90.00° and γ = 90.00°. Symmetry generates all atoms from Y at (0.0000, 0.0000, 0.0000), P at (0.1204, 0.2500, 0.6250) and Pt at (0.0000, 0.0000, 0.5000).

The calculation puts the final energy at -6.52 eV/atom. The energy above the most stable polymorph in this dataset comes out at 384 meV/atom. The calculation puts the total moment at 0.000 μB/cell. The value obtained for the theoretical density is 7.16 g/cm3. The formation energy comes out at -15.8 kcal/mol of atoms.


Record 2
An optimized crystal structure of YP2Pt, computed with GGA-PBE.

It has space group Cmmm (No. 65), with a = 3.9126 Å, b = 6.1536 Å, c = 6.4963 Å, α = 90.00°, β = 90.00° and γ = 90.00°. Symmetry generates all atoms from Y at (0.0000, 0.0000, 0.0000), P at (0.0000, 0.5000, 0.2888) and Pt at (0.0000, 0.0000, 0.5000).

The calculation puts the final energy at -6.43 eV/atom. The energy above the most stable polymorph in this dataset comes out at 466 meV/atom. The calculation puts the total moment at 0.000 μB/cell. The value obtained for the theoretical density is 7.35 g/cm3. The formation energy comes out at -13.9 kcal/mol of atoms.


Record 3
An optimized crystal structure of YPPt2, computed with GGA-PBE.

It has space group R-3m (No. 166, hexagonal axes), with a = 4.1758 Å, b = 4.1758 Å, c = 15.1117 Å, α = 90.00°, β = 90.00° and γ = 120.00°. Symmetry generates all atoms from Y at (0.0000, 0.0000, 0.0000), P at (0.0000, 0.0000, 0.5000) and Pt at (0.0000, 0.0000, 0.2123).

The calculation puts the final energy at -6.80 eV/atom. The calculation puts the total moment at 0.000 μB/cell. The value obtained for the theoretical density is 11.13 g/cm3. The formation energy comes out at -18.8 kcal/mol of atoms.